First-principles (PBE) data for a relaxed structure of Re4SbIr, as listed in Alexandria.

Computed properties:
The energy relative to the elements, uncorrected comes out at 0.78 eV per atom. As for the total magnetic moment: 0.00 μB/atom. The density of states at the Fermi level comes out at 16.69 states/eV/cell.

Cell: 7.394 7.394 7.394 Å, 90.00 90.00 90.00°
Space group F-43m (No. 216)
Inequivalent atoms, fractional coordinates:
Re: 0.123 0.123 0.377 (multiplicity 16)
Sb: 0.000 0.000 0.000 (multiplicity 4)
Ir: 0.250 0.250 0.750 (multiplicity 4)


First-principles (PBE) data for a relaxed structure of ReSb2Ir, as listed in Alexandria.

Computed properties:
The energy relative to the elements, uncorrected comes out at 0.38 eV per atom. The value obtained for the energy relative to the lowest polymorph listed for this composition is 146 meV/atom. As for the total magnetic moment: 0.00 μB/atom. The density of states at the Fermi level comes out at 3.48 states/eV/cell.

Cell: 9.538 3.416 4.621 Å, 90.00 102.44 90.00°
Space group Cm (No. 8)
Inequivalent atoms, fractional coordinates:
Re: 0.000 0.000 0.000 (multiplicity 2)
Sb: 0.229 0.500 0.093 (multiplicity 2)
Sb: 0.486 0.000 0.489 (multiplicity 2)
Ir: 0.219 0.000 0.591 (multiplicity 2)


First-principles (PBE) data for a relaxed structure of ReSb2Ir, as listed in Alexandria.

Computed properties:
The energy relative to the elements, uncorrected comes out at 0.44 eV per atom. The value obtained for the energy relative to the lowest polymorph listed for this composition is 207 meV/atom. As for the total magnetic moment: 0.00 μB/atom. The density of states at the Fermi level comes out at 2.58 states/eV/cell.

Cell: 3.353 3.353 6.381 Å, 90.00 90.00 90.00°
Space group P4/mmm (No. 123)
Inequivalent atoms, fractional coordinates:
Re: 0.000 0.000 0.000 (multiplicity 1)
Sb: 0.500 0.500 0.250 (multiplicity 2)
Ir: 0.000 0.000 0.500 (multiplicity 1)


First-principles (PBE) data for a relaxed structure of ReSb2Ir, as listed in Alexandria.

Computed properties:
The energy relative to the elements, uncorrected comes out at 0.90 eV per atom. The value obtained for the energy relative to the lowest polymorph listed for this composition is 672 meV/atom. As for the total magnetic moment: 0.00 μB/atom. The density of states at the Fermi level comes out at 21.07 states/eV/cell.

Cell: 6.726 6.726 6.726 Å, 90.00 90.00 90.00°
Space group F-43m (No. 216)
Inequivalent atoms, fractional coordinates:
Re: 0.000 0.000 0.000 (multiplicity 4)
Sb: 0.000 0.000 0.500 (multiplicity 4)
Sb: 0.250 0.250 0.750 (multiplicity 4)
Ir: 0.250 0.250 0.250 (multiplicity 4)


First-principles (PBE) data for a relaxed structure of ReSb2Ir, as listed in Alexandria.

Computed properties:
The energy relative to the elements, uncorrected comes out at 0.26 eV per atom. The value obtained for the energy relative to the lowest polymorph listed for this composition is 23 meV/atom. As for the total magnetic moment: 0.00 μB/atom. The density of states at the Fermi level comes out at 3.22 states/eV/cell.

Cell: 2.888 3.982 7.605 Å, 90.00 91.24 90.00°
Space group Pm (No. 6)
Inequivalent atoms, fractional coordinates:
Re: 0.000 0.000 0.000 (multiplicity 1)
Sb: 0.495 0.500 0.774 (multiplicity 1)
Sb: 0.513 0.000 0.380 (multiplicity 1)
Ir: 0.508 0.500 0.139 (multiplicity 1)


First-principles (PBE) data for a relaxed structure of ReSbIr3, as listed in Alexandria.

Computed properties:
The energy relative to the elements, uncorrected comes out at 1.46 eV per atom. The value obtained for the energy relative to the lowest polymorph listed for this composition is 0 meV/atom. As for the total magnetic moment: 0.00 μB/atom. The density of states at the Fermi level comes out at 5.03 states/eV/cell.

Cell: 4.773 4.773 4.773 Å, 90.00 90.00 90.00°
Space group Pm-3m (No. 221)
Inequivalent atoms, fractional coordinates:
Re: 0.000 0.000 0.000 (multiplicity 1)
Sb: 0.500 0.500 0.500 (multiplicity 1)
Ir: 0.000 0.000 0.500 (multiplicity 3)


First-principles (PBE) data for a relaxed structure of ReSb2Ir, as listed in Alexandria.

Computed properties:
The energy relative to the elements, uncorrected comes out at 0.23 eV per atom. The value obtained for the energy relative to the lowest polymorph listed for this composition is 0 meV/atom. As for the total magnetic moment: 0.00 μB/atom. The density of states at the Fermi level comes out at 2.29 states/eV/cell.

Cell: 3.010 3.010 9.417 Å, 90.00 90.00 90.00°
Space group P4mm (No. 99)
Inequivalent atoms, fractional coordinates:
Re: 0.000 0.000 0.000 (multiplicity 1)
Sb: 0.000 0.000 0.604 (multiplicity 1)
Sb: 0.500 0.500 0.208 (multiplicity 1)
Ir: 0.500 0.500 0.827 (multiplicity 1)


First-principles (PBE) data for a relaxed structure of ReSbIr3, as listed in Alexandria.

Computed properties:
The energy relative to the elements, uncorrected comes out at 2.44 eV per atom. The value obtained for the energy relative to the lowest polymorph listed for this composition is 989 meV/atom. As for the total magnetic moment: 0.00 μB/atom. The density of states at the Fermi level comes out at 7.57 states/eV/cell.

Cell: 4.736 4.736 4.736 Å, 90.00 90.00 90.00°
Space group Pm-3m (No. 221)
Inequivalent atoms, fractional coordinates:
Re: 0.000 0.000 0.000 (multiplicity 1)
Sb: 0.500 0.500 0.500 (multiplicity 1)
Ir: 0.000 0.500 0.500 (multiplicity 3)


First-principles (PBE) data for a relaxed structure of ReSb2Ir, as listed in Alexandria.

Computed properties:
The energy relative to the elements, uncorrected comes out at 0.43 eV per atom. The value obtained for the energy relative to the lowest polymorph listed for this composition is 193 meV/atom. As for the total magnetic moment: 0.00 μB/atom. The density of states at the Fermi level comes out at 7.20 states/eV/cell.

Cell: 3.2096 3.2096 24.8395 Å, 90.00 90.00 120.00°
Space group R-3m (No. 166, hexagonal axes)
Inequivalent atoms, fractional coordinates:
Re: 0.0000 0.0000 0.0000 (multiplicity 3)
Sb: 0.0000 0.0000 0.2507 (multiplicity 6)
Ir: 0.0000 0.0000 0.5000 (multiplicity 3)


First-principles (PBE) data for a relaxed structure of ReSb3Ir, as listed in Alexandria.

Computed properties:
The energy relative to the elements, uncorrected comes out at 1.18 eV per atom. The value obtained for the energy relative to the lowest polymorph listed for this composition is 0 meV/atom. As for the total magnetic moment: 0.00 μB/atom. The density of states at the Fermi level comes out at 3.26 states/eV/cell.

Cell: 5.067 5.067 5.067 Å, 90.00 90.00 90.00°
Space group Pm-3m (No. 221)
Inequivalent atoms, fractional coordinates:
Re: 0.000 0.000 0.000 (multiplicity 1)
Sb: 0.000 0.000 0.500 (multiplicity 3)
Ir: 0.500 0.500 0.500 (multiplicity 1)


First-principles (PBE) data for a relaxed structure of ReSb2Ir, as listed in Alexandria.

Computed properties:
The energy relative to the elements, uncorrected comes out at 0.59 eV per atom. The value obtained for the energy relative to the lowest polymorph listed for this composition is 359 meV/atom. As for the total magnetic moment: 0.00 μB/atom. The density of states at the Fermi level comes out at 5.78 states/eV/cell.

Cell: 3.357 4.426 10.178 Å, 90.00 90.00 90.00°
Space group Imm2 (No. 44)
Inequivalent atoms, fractional coordinates:
Re: 0.000 0.000 0.000 (multiplicity 2)
Sb: 0.000 0.000 0.494 (multiplicity 2)
Sb: 0.000 0.500 0.722 (multiplicity 2)
Ir: 0.000 0.500 0.213 (multiplicity 2)


First-principles (PBE) data for a relaxed structure of ReSb2Ir, as listed in Alexandria.

Computed properties:
The energy relative to the elements, uncorrected comes out at 0.52 eV per atom. The value obtained for the energy relative to the lowest polymorph listed for this composition is 288 meV/atom. As for the total magnetic moment: 0.00 μB/atom. The density of states at the Fermi level comes out at 24.24 states/eV/cell.

Cell: 6.627 6.627 6.627 Å, 90.00 90.00 90.00°
Space group Fm-3m (No. 225)
Inequivalent atoms, fractional coordinates:
Re: 0.000 0.000 0.000 (multiplicity 4)
Sb: 0.250 0.250 0.250 (multiplicity 8)
Ir: 0.000 0.000 0.500 (multiplicity 4)


First-principles (PBE) data for a relaxed structure of ReSb3Ir, as listed in Alexandria.

Computed properties:
The energy relative to the elements, uncorrected comes out at 1.37 eV per atom. The value obtained for the energy relative to the lowest polymorph listed for this composition is 190 meV/atom. As for the total magnetic moment: 0.51 μB/atom. The density of states at the Fermi level comes out at 2.81 states/eV/cell.

Cell: 5.108 5.108 5.108 Å, 90.00 90.00 90.00°
Space group Pm-3m (No. 221)
Inequivalent atoms, fractional coordinates:
Re: 0.000 0.000 0.000 (multiplicity 1)
Sb: 0.000 0.500 0.500 (multiplicity 3)
Ir: 0.500 0.500 0.500 (multiplicity 1)


First-principles (PBE) data for a relaxed structure of ReSb2Ir, as listed in Alexandria.

Computed properties:
The energy relative to the elements, uncorrected comes out at 0.46 eV per atom. The value obtained for the energy relative to the lowest polymorph listed for this composition is 223 meV/atom. As for the total magnetic moment: 0.00 μB/atom. The density of states at the Fermi level comes out at 6.23 states/eV/cell.

Cell: 8.591 3.196 5.482 Å, 90.00 102.56 90.00°
Space group C2/m (No. 12)
Inequivalent atoms, fractional coordinates:
Re: 0.000 0.000 0.000 (multiplicity 2)
Sb: 0.248 0.500 0.243 (multiplicity 4)
Ir: 0.000 0.500 0.500 (multiplicity 2)